{"formula": "SrCoP2O7", "functional": "PBE with a Hubbard U", "state": "optimized geometry", "sg": "P2_1/c (14)", "dft_energy_ev_per_atom": -7.096, "magmom_total_mub_per_fu": 3.01, "lattice_angstrom": [[8.338, 0.000, 0.000], [0.000, 5.387, 0.000], [0.000, 5.322, 12.912]], "species": ["O", "P", "O", "O", "Co", "P", "Co", "O", "O", "O", "O", "Sr", "O", "O", "Co", "Co", "O", "O", "P", "P", "Sr", "P", "P", "O", "O", "P", "P", "O", "Sr", "O", "O", "O", "O", "O", "O", "Sr", "O", "O", "O", "O", "O", "O", "O", "O"], "fractional_positions": [[0.597, 0.267, 0.400], [0.535, 0.420, 0.832], [0.614, 0.320, 0.946], [0.403, 0.733, 0.600], [0.150, 0.286, 0.895], [0.965, 0.420, 0.332], [0.850, 0.714, 0.105], [0.559, 0.197, 0.791], [0.441, 0.803, 0.209], [0.886, 0.320, 0.446], [0.141, 0.479, 0.346], [0.664, 0.009, 0.278], [0.382, 0.316, 0.236], [0.859, 0.521, 0.654], [0.650, 0.714, 0.605], [0.350, 0.286, 0.395], [0.169, 0.381, 0.026], [0.114, 0.680, 0.554], [0.035, 0.580, 0.668], [0.300, 0.668, 0.520], [0.836, 0.009, 0.778], [0.465, 0.580, 0.168], [0.800, 0.332, 0.980], [0.618, 0.684, 0.764], [0.882, 0.684, 0.264], [0.200, 0.668, 0.020], [0.700, 0.332, 0.480], [0.059, 0.803, 0.709], [0.336, 0.991, 0.722], [0.669, 0.619, 0.474], [0.118, 0.316, 0.736], [0.386, 0.680, 0.054], [0.331, 0.381, 0.526], [0.690, 0.110, 0.588], [0.831, 0.619, 0.974], [0.164, 0.991, 0.222], [0.190, 0.890, 0.912], [0.941, 0.197, 0.291], [0.641, 0.521, 0.154], [0.903, 0.267, 0.900], [0.310, 0.890, 0.412], [0.810, 0.110, 0.088], [0.097, 0.733, 0.100], [0.359, 0.479, 0.846]]}